Record 1
Material: HoInSnPd
Method: DFT, PBE-GGA
State: relaxed

Lattice parameters (Å, degrees): 7.111 7.111 7.111 90.00 90.00 90.00
Positions (direct):
Ho 0.000 0.000 0.000
Ho 0.000 0.500 0.500
Ho 0.500 0.000 0.500
Ho 0.500 0.500 0.000
In 0.000 0.000 0.500
In 0.000 0.500 0.000
In 0.500 0.000 0.000
In 0.500 0.500 0.500
Sn 0.250 0.250 0.250
Sn 0.250 0.750 0.750
Sn 0.750 0.250 0.750
Sn 0.750 0.750 0.250
Pd 0.250 0.250 0.750
Pd 0.250 0.750 0.250
Pd 0.750 0.250 0.250
Pd 0.750 0.750 0.750

=====

Record 2
Material: TbHoInPd
Method: DFT, PBE-GGA
State: relaxed

Lattice parameters (Å, degrees): 7.295 7.295 7.295 90.00 90.00 90.00
Positions (direct):
Tb 0.000 0.000 0.000
Tb 0.000 0.500 0.500
Tb 0.500 0.000 0.500
Tb 0.500 0.500 0.000
Ho 0.000 0.000 0.500
Ho 0.000 0.500 0.000
Ho 0.500 0.000 0.000
Ho 0.500 0.500 0.500
In 0.250 0.250 0.750
In 0.250 0.750 0.250
In 0.750 0.250 0.250
In 0.750 0.750 0.750
Pd 0.250 0.250 0.250
Pd 0.250 0.750 0.750
Pd 0.750 0.250 0.750
Pd 0.750 0.750 0.250

=====

no.,raw total energy (eV/atom)
1,-4.597
2,-4.889